First-principles (PBE+U) data for crystalline CsYW2O8 at its relaxed geometry, as listed in the Alexandria database.

abc: 7.747 7.747 7.559
angles: 117.57 117.57 88.47
Atoms (fractional coordinates):
Cs1 0.200 0.800 0.750
Cs2 0.800 0.200 0.250
Y1 0.222 0.778 0.250
Y2 0.778 0.222 0.750
W1 0.303 0.312 0.287
W2 0.312 0.303 0.787
W3 0.688 0.697 0.213
W4 0.697 0.688 0.713
O1 0.050 0.237 0.709
O2 0.058 0.356 0.123
O3 0.237 0.050 0.209
O4 0.254 0.377 0.565
O5 0.356 0.058 0.623
O6 0.376 0.595 0.040
O7 0.377 0.254 0.065
O8 0.405 0.624 0.460
O9 0.595 0.376 0.540
O10 0.623 0.746 0.935
O11 0.624 0.405 0.960
O12 0.644 0.942 0.377
O13 0.746 0.623 0.435
O14 0.763 0.950 0.791
O15 0.942 0.644 0.877
O16 0.950 0.763 0.291

Properties
The calculation puts the total magnetic moment at 0.000 μB per atom. The calculated volume comes out at 346 Å³/cell. As for the final energy: -180.346 eV for the cell shown.